! LiCrO2 PBE with a Hubbard U relaxed; values from VASP
! Symmetry: R-3m, No. 166
! Calculated volume in Å³/atom: 9.3
! DOS(E_F) in states/eV per atom: 0.0000
! Crystal system: trigonal
! Offset from the most stable computed form in eV/atom: 0.000
! Total moment in μB per formula unit: 3.00
&SYSTEM
  ibrav = 0, nat = 4, ntyp = 3
/
ATOMIC_SPECIES
Cr 52.00 Cr.upf
O 16.00 O.upf
Li 6.94 Li.upf
CELL_PARAMETERS angstrom
5.145 0.000 0.000
4.288 2.846 0.000
4.288 1.293 2.535
ATOMIC_POSITIONS angstrom
Cr 6.860 2.069 1.267
O 3.315 1.000 0.613
O 10.405 3.139 1.922
Li 0.000 0.000 0.000